Density functional theory data (GGA-PBE) for crystalline TbGa4CuRu2 at its relaxed geometry.

Unit cell a=4.2520 b=4.2520 c=25.4632 alpha=90.00 beta=90.00 gamma=120.00
Closest atoms and distances in Å follow each position.
Space group R-3m (No. 166, hexagonal axes)
Symmetry-distinct sites (fractional):
Tb: 0.0000 0.0000 0.0000  8 Ga 2.96-3.28
Ga: 0.0000 0.0000 0.1289  4 Ru 2.54-2.59, 3 Cu 2.64
Ga: 0.0000 0.0000 0.3985  1 Cu 2.59, 3 Ru 2.64
Cu: 0.0000 0.0000 0.5000  8 Ga 2.59-2.64
Ru: 0.0000 0.0000 0.2305  7 Ga 2.54-2.64

Calculated values
**Formation energy**: -0.339 eV per atom
**DOS at the Fermi energy**: 0.45 states/eV/atom
**M_tot**: 0.0 μB/cell